## Na2Mn2FeO6 (PBE+U)

Data for crystalline Na2Mn2FeO6 at its relaxed geometry.

Unit cell a=5.2409 b=8.7392 c=5.7849 alpha=90.00 beta=108.06 gamma=90.00
Space group C2/m (No. 12)
Asymmetric unit:
Na: 0.0000 0.1685 0.0000 x4
Mn: 0.0000 0.3346 0.5000 x4
Fe: 0.0000 0.0000 0.5000 x2
O: 0.2174 0.1695 0.6884 x8
O: 0.2338 0.5000 0.6827 x4

Properties
VASP energy	-6.254	eV per atom
density	4.057	g/cm3
calculated volume	11.45	Å³ per atom